No. 1
Compound: LiAg2Te
Source: Alexandria
Functional: PBE
Structure: optimized geometry

Calculated values
mass density = 7.12 g/cm3
uncorrected energy = -11.56 eV for the cell shown
M_tot = 0.00 μB per formula unit

Unit cell a=3.1243 b=4.1421 c=6.3144 alpha=90.00 beta=90.00 gamma=90.00
Closest atoms and distances in Å follow each position.
Space group Pmm2 (No. 25)
One atom of each set of equivalent atoms:
Li 0.0000 0.0000 0.0000 (multiplicity 1)  5 Ag 2.81-3.01, 4 Te 2.95, 2 Li 3.12
Ag 0.0000 0.0000 0.5554 (multiplicity 1)  1 Li 2.81, 6 Ag 2.89-3.12
Ag 0.5000 0.5000 0.7575 (multiplicity 1)  6 Ag 2.89-3.12, 1 Te 2.93, 4 Li 3.01
Te 0.5000 0.5000 0.2221 (multiplicity 1)  1 Ag 2.93, 4 Li 2.95, 2 Te 3.12

---

No. 2
Compound: LiAg2Te
Source: Alexandria
Functional: PBE
Structure: optimized geometry

Calculated values
mass density = 7.22 g/cm3
uncorrected energy = -23.06 eV for the cell shown
M_tot = 0.00 μB per formula unit

Unit cell a=4.4230 b=4.4230 c=8.2362 alpha=90.00 beta=90.00 gamma=90.00
Closest atoms and distances in Å follow each position.
Space group I-4m2 (No. 119)
One atom of each set of equivalent atoms:
Li 0.0000 0.0000 0.0000 (multiplicity 2)  4 Te 3.02, 8 Ag 3.02-3.13
Ag 0.0000 0.0000 0.5000 (multiplicity 2)  4 Te 3.02, 4 Ag 3.02, 4 Li 3.13
Ag 0.0000 0.5000 0.2500 (multiplicity 2)  4 Li 3.02, 4 Ag 3.02, 4 Te 3.13
Te 0.0000 0.5000 0.7500 (multiplicity 2)  4 Li 3.02, 8 Ag 3.02-3.13

---

Copy entry 2 word for word.
Compound: LiAg2Te
Source: Alexandria
Functional: PBE
Structure: optimized geometry

Calculated values
mass density = 7.22 g/cm3
uncorrected energy = -23.06 eV for the cell shown
M_tot = 0.00 μB per formula unit

Unit cell a=4.4230 b=4.4230 c=8.2362 alpha=90.00 beta=90.00 gamma=90.00
Closest atoms and distances in Å follow each position.
Space group I-4m2 (No. 119)
One atom of each set of equivalent atoms:
Li 0.0000 0.0000 0.0000 (multiplicity 2)  4 Te 3.02, 8 Ag 3.02-3.13
Ag 0.0000 0.0000 0.5000 (multiplicity 2)  4 Te 3.02, 4 Ag 3.02, 4 Li 3.13
Ag 0.0000 0.5000 0.2500 (multiplicity 2)  4 Li 3.02, 4 Ag 3.02, 4 Te 3.13
Te 0.0000 0.5000 0.7500 (multiplicity 2)  4 Li 3.02, 8 Ag 3.02-3.13